No. 1
## Tm4CuGe8 (PBE)

Data for a relaxed Tm4CuGe8 crystal.

Properties
Space-group type   Pmm2
Crystal system   orthorhombic

Cell lengths 3.9409, 4.0373, 16.3121 Å; angles 90.00, 90.00, 90.00 degrees
Closest atoms and distances in Å follow each position.
Fractional coordinates of all 13 atoms:
1 Tm 0.0000 0.0000 0.0958  10 Ge 2.95-3.25
2 Tm 0.0000 0.5000 0.6110  10 Ge 2.91-3.08
3 Tm 0.5000 0.5000 0.3995  8 Ge 3.04-3.35, 4 Cu 3.07
4 Tm 0.5000 0.0000 0.8925  10 Ge 2.92-3.17
5 Cu 0.0000 0.0000 0.3249  5 Ge 2.34-2.48
6 Ge 0.0000 0.0000 0.4685  1 Cu 2.34, 2 Ge 2.55
7 Ge 0.0000 0.5000 0.9395  2 Ge 2.59
8 Ge 0.5000 0.5000 0.0425  2 Ge 2.59
9 Ge 0.5000 0.0000 0.5681  2 Ge 2.55
10 Ge 0.0000 0.5000 0.2362  2 Cu 2.48
11 Ge 0.0000 0.0000 0.7485  4 Ge 2.82, 4 Tm 3.02-3.07
12 Ge 0.5000 0.0000 0.2356  2 Cu 2.45
13 Ge 0.5000 0.5000 0.7554  4 Ge 2.82, 4 Tm 3.01-3.07



No. 2
## Tm2Cu3Ge (PBE)

Data for a relaxed Tm2Cu3Ge crystal.

Properties
Space-group type   Pmm2
Crystal system   orthorhombic

Cell lengths 3.3922, 4.2211, 7.5448 Å; angles 90.00, 90.00, 90.00 degrees
Closest atoms and distances in Å follow each position.
Fractional coordinates of all 6 atoms:
1 Tm 0.0000 0.5000 0.9879  10 Cu 2.94-3.02, 2 Ge 3.10
2 Tm 0.0000 0.0000 0.5137  8 Cu 2.94-3.12, 4 Ge 3.04
3 Cu 0.5000 0.0000 0.8369  3 Cu 2.48
4 Cu 0.5000 0.0000 0.1660  2 Ge 2.45, 1 Cu 2.48
5 Cu 0.5000 0.5000 0.6645  2 Cu 2.48, 1 Ge 2.51
6 Ge 0.5000 0.5000 0.3311  3 Cu 2.45-2.51



Number 1: magnetic moment 0.000 μB per cell, raw total energy -0.1872 Ha/atom, DOS(E_F) 0.381 states/eV per atom. Number 2: magnetic moment 0.000 μB per cell, raw total energy -0.1746 Ha/atom, DOS(E_F) 0.330 states/eV per atom.